(1)
4
Lattice="-0.904 2.464 -0.693 -2.667 0.507 -0.035 -0.913 2.888 6.147" Properties=species:S:1:pos:R:3 comment="PBE CrHRh2, relaxed" space_group=R-3m final_energy_ev_per_fu=-27.71 dos_ef_per_ev_cell=3.2 pbc="T T T"
Cr -2.242 2.930 2.710
Rh -3.346 4.505 4.437
Rh -1.137 1.354 0.982
H 0.000 0.000 0.000

---

(2)
10
Lattice="-0.616 -1.439 -3.346 3.633 -0.001 -0.668 1.404 -18.415 7.664" Properties=species:S:1:pos:R:3 comment="PBE LaNd5Zn4, relaxed" space_group=P4/mmm formation_energy_ev_per_atom=-0.245 final_energy_ev_per_fu=-36.31 dos_ef_per_ev_cell=12.8 pbc="T T T"
Zn 0.573 -7.510 3.125
Nd 1.954 -6.560 0.423
La 0.000 0.000 0.000
Nd 2.725 -16.668 4.630
Zn 0.832 -10.905 4.538
Nd 1.697 -3.187 -0.980
Nd 2.468 -13.296 3.226
Zn 0.315 -4.125 1.717
Zn 1.090 -14.290 5.947
Nd 2.211 -9.928 1.825

---

(3)
14
Lattice="-4.247 -0.388 -3.696 1.071 -8.307 -4.664 -8.001 -1.548 5.049" Properties=species:S:1:pos:R:3 comment="PBE Dy8Ho3Th3, relaxed" space_group=Immm formation_energy_ev_per_atom=0.155 final_energy_ev_per_fu=-70.63 dos_ef_per_ev_cell=21.6 pbc="T T T"
Dy -7.208 -7.526 -3.849
Ho -5.588 -5.121 -1.656
Th -0.606 -7.057 -2.869
Dy -3.138 -5.129 -4.471
Dy -7.188 -2.112 -0.135
Dy -8.038 -5.114 1.160
Th -2.123 -0.194 -1.848
Ho -4.765 -2.219 -2.906
Ho -6.411 -8.024 -0.405
Dy -2.102 -4.107 -1.460
Th -6.324 -2.797 3.254
Dy -3.968 -2.717 0.538
Dy -3.988 -8.131 -3.176
Dy -9.074 -6.136 -1.852

---

(4)
10
Lattice="-3.241 2.418 0.351 -1.910 -1.820 -5.094 -2.503 -7.771 6.944" Properties=species:S:1:pos:R:3 comment="PBE Tb4ThP5, relaxed" space_group=Immm formation_energy_ev_per_atom=-1.611 final_energy_ev_per_fu=-69.10 dos_ef_per_ev_cell=2.8 pbc="T T T"
Tb -5.598 -4.148 0.350
P -4.668 -3.275 2.920
Tb -3.615 -1.231 -1.435
Tb -4.038 -5.941 3.636
P -2.985 -3.897 -0.719
P -2.653 -0.311 1.106
Tb -2.056 -3.025 1.851
Th 0.000 0.000 0.000
P -5.000 -6.862 1.095
P -0.955 -0.910 -2.547

---

(5)
18
Lattice="-6.904 0.284 -3.129 1.716 -7.710 1.104 -3.289 0.311 7.285" Properties=species:S:1:pos:R:3 comment="PBE Nd2Ho3Ga4, relaxed" space_group=P2_1/c formation_energy_ev_per_atom=-0.578 final_energy_ev_per_fu=-40.58 dos_ef_per_ev_cell=16.6 pbc="T T T"
Ho -4.938 -5.537 0.860
Ho -0.994 -5.725 1.334
Ga -5.465 -3.529 3.127
Nd -3.788 -5.903 4.522
Ga -2.887 -6.901 -0.740
Ho -7.484 -1.390 3.926
Ga -3.012 -3.586 2.133
Ga -5.607 -3.526 -1.329
Nd -4.689 -1.212 0.738
Ga -5.590 -0.214 6.000
Ga -2.870 -3.590 6.589
Nd -0.782 -1.397 1.295
Ga -7.599 -0.209 1.239
Ga -0.878 -6.907 4.021
Ho -2.594 -3.713 -1.013
Ho -3.539 -1.578 4.400
Nd -7.695 -5.718 3.965
Ho -0.786 -3.699 4.195

---

(6)
5
Lattice="-2.802 -3.698 2.176 4.093 -3.083 0.032 1.286 1.756 4.639" Properties=species:S:1:pos:R:3 comment="PBE SiHg3Se, relaxed" space_group=Pm-3m raw_formation_energy_kj_per_mol_atoms=31.63 final_energy_ev_per_fu=-8.17 dos_ef_per_ev_cell=5.5 pbc="T T T"
Hg 0.643 0.878 2.320
Si 0.000 0.000 0.000
Se 1.289 -2.512 3.424
Hg -1.401 -1.849 1.088
Hg 2.047 -1.541 0.016